# PmPu3Se4 (PBE-GGA, relaxed)
data_PmPu3Se4
_cell_length_a 5.884
_cell_length_b 5.884
_cell_length_c 5.884
_cell_angle_alpha 90.00
_cell_angle_beta 90.00
_cell_angle_gamma 90.00
_space_group_name_H-M_alt 'P m -3 m'
_space_group_IT_number 221
_space_group_name_Hall '-P 4 2 3'
loop_
_atom_site_label
_atom_site_type_symbol
_atom_site_fract_x
_atom_site_fract_y
_atom_site_fract_z
Pm1 Pm 0.000 0.000 0.000
Pu1 Pu 0.000 0.500 0.500
Se1 Se 0.000 0.000 0.500
Se2 Se 0.500 0.500 0.500
# Energy: -74.59 eV/cell
# Formation energy without anion corrections: -1.613 eV/atom